# Li2LaIr

Li2LaIr after structural relaxation (GGA-PBEsol, the Alexandria database).

Results
Total magnetization = 0.00 μB per formula unit
E above lowest polymorph = 0 meV/atom
Formation enthalpy at 0 K = -0.30 eV/atom

Structure (CIF):
```
data_Li2LaIr
_chemical_formula_sum 'Li4 La2 Ir2'
_space_group_name_H-M_alt 'I 4/m m m'
_space_group_IT_number 139
_space_group_name_Hall '-I 4 2'
_cell_length_a 4.026
_cell_length_b 4.026
_cell_length_c 8.854
_cell_angle_alpha 90.00
_cell_angle_beta 90.00
_cell_angle_gamma 90.00
loop_
_atom_site_label
_atom_site_fract_x
_atom_site_fract_y
_atom_site_fract_z
Li1 0.000 0.500 0.250
La1 0.000 0.000 0.000
Ir1 0.000 0.000 0.500
```